Model 1:
The following is a DFT calculation (PBE) of a relaxed IrOs2 crystal.

Values from the calculation:
- symmetry = Cmcm
- magnetization (μB per cell) = 0.0

abc: 3.867 6.080 3.870
angles: 90.00 90.00 71.46
Positions (direct):
Ir: 0.916 0.168 0.250
Ir: 0.084 0.832 0.750
Os: 0.586 0.829 0.250
Os: 0.751 0.497 0.750
Os: 0.414 0.171 0.750
Os: 0.249 0.503 0.250



Model 2:
The following is a DFT calculation (PBE) of a relaxed IrOs2 crystal.

Values from the calculation:
- symmetry = P4/mmm
- magnetization (μB per cell) = 0.0

abc: 4.452 4.452 2.672
angles: 90.00 90.00 90.00
Positions (direct):
Os: 0.000 0.500 0.500
Os: 0.500 0.000 0.500
Ir: 0.000 0.000 0.000



Model 3:
The following is a DFT calculation (PBE) of a relaxed IrOs2 crystal.

Values from the calculation:
- symmetry = Imma
- magnetization (μB per cell) = 0.0

abc: 2.698 3.980 17.725
angles: 90.00 90.00 90.00
Positions (direct):
Os: 0.000 0.250 0.040
Os: 0.500 0.750 0.689
Os: 0.000 0.250 0.189
Os: 0.500 0.250 0.311
Os: 0.500 0.750 0.540
Os: 0.000 0.750 0.960
Os: 0.000 0.750 0.811
Os: 0.500 0.250 0.460
Ir: 0.500 0.250 0.876
Ir: 0.500 0.750 0.124
Ir: 0.000 0.250 0.624
Ir: 0.000 0.750 0.376



Model 4:
The following is a DFT calculation (PBE) of a relaxed IrOs2 crystal.

Values from the calculation:
- symmetry = Cmcm
- magnetization (μB per cell) = 0.0

abc: 2.761 7.295 4.359
angles: 90.00 90.00 79.09
Positions (direct):
Ir: 0.555 0.889 0.500
Ir: 0.000 0.000 0.000
Os: 0.887 0.226 0.500
Os: 0.668 0.663 0.000
Os: 0.224 0.553 0.500
Os: 0.332 0.336 0.000



Q: Which of them is the least stable? A: model 2.



Model 1:
The following is a DFT calculation (PBE) of a relaxed IrOs2 crystal.

Values from the calculation:
- symmetry = Pa-3
- magnetization (μB per cell) = 0.0

abc: 6.020 6.020 6.020
angles: 90.00 90.00 90.00
Positions (direct):
Os: 0.891 0.109 0.609
Os: 0.609 0.891 0.109
Os: 0.391 0.391 0.391
Os: 0.391 0.109 0.891
Os: 0.109 0.891 0.391
Os: 0.609 0.609 0.609
Os: 0.109 0.609 0.891
Os: 0.891 0.391 0.109
Ir: 0.500 0.500 0.000
Ir: 0.000 0.500 0.500
Ir: 0.500 0.000 0.500
Ir: 0.000 0.000 0.000



Model 2:
The following is a DFT calculation (PBE) of a relaxed IrOs2 crystal.

Values from the calculation:
- symmetry = Immm
- magnetization (μB per cell) = 0.0

abc: 4.734 4.734 4.734
angles: 146.53 131.89 59.88
Positions (direct):
Os: 0.330 0.330 0.000
Os: 0.670 0.670 0.000
Ir: 0.000 0.000 0.000



Q: Which of them is the least stable? A: model 1.